1.
# Tl4I2BrCl

An optimized crystal structure of Tl4I2BrCl (GGA-PBE, Alexandria).

Calculated values
- energy (eV per atom) = -2.81
- crystal system = monoclinic
- formation energy (no corrections) (meV/atom) = -795.6

Cell lengths 4.843, 8.392, 8.409 Å; angles 109.39, 90.00, 90.00 degrees
Element x y z (fractional)
Br  0.000  0.000  0.000
I  0.000  0.500  0.500
I  0.500  0.000  0.500
Tl  0.000  0.262  0.772
Tl  0.000  0.738  0.228
Tl  0.500  0.751  0.771
Tl  0.500  0.249  0.229
Cl  0.500  0.500  0.000

2.
# ZnHg2Ru

An optimized crystal structure of ZnHg2Ru (GGA-PBE, Alexandria).

Calculated values
- energy of formation (eV/atom) = 0.28
- energy (eV per atom) = -2.51
- crystal system = orthorhombic

Cell lengths 3.198, 3.190, 7.636 Å; angles 77.97, 90.00, 90.00 degrees
Each line ends with the local moment (μB).
Element x y z (fractional)
Hg  0.000  0.209  0.956  0.00
Hg  0.500  0.039  0.297  0.00
Ru  0.000  0.415  0.544  0.36
Zn  0.500  0.836  0.703  0.00

3.
# CuTePO2

An optimized crystal structure of CuTePO2 (GGA-PBE, Alexandria).

Calculated values
- energy above the most stable polymorph in this dataset (eV per atom) = 0.1819
- energy (eV per atom) = -4.31
- crystal system = tetragonal
- formation energy (no corrections) (meV/atom) = 206.1

Cell lengths 3.892, 3.892, 4.551 Å; angles 90.00, 90.00, 90.00 degrees
Element x y z (fractional)
Te  0.500  0.500  0.500
P  0.000  0.000  0.500
O  0.500  0.000  0.000
O  0.000  0.500  0.000
Cu  0.000  0.000  0.000

4.
# AlCu2Sb2

An optimized crystal structure of AlCu2Sb2 (GGA-PBE, Alexandria).

Calculated values
- energy above the most stable polymorph in this dataset (eV per atom) = 0.0869
- energy (eV per atom) = -3.78
- crystal system = tetragonal
- formation energy (no corrections) (meV/atom) = 259.3

Cell lengths 8.042, 8.042, 3.081 Å; angles 90.00, 90.00, 90.00 degrees
Element x y z (fractional)
Sb  0.182  0.318  0.000
Sb  0.682  0.182  0.000
Sb  0.818  0.682  0.000
Sb  0.318  0.818  0.000
Cu  0.611  0.889  0.500
Cu  0.389  0.111  0.500
Cu  0.111  0.611  0.500
Cu  0.889  0.389  0.500
Al  0.000  0.000  0.000
Al  0.500  0.500  0.000

5.
# PuSbH2O6

An optimized crystal structure of PuSbH2O6 (GGA-PBE, Alexandria).

Calculated values
- energy (eV per atom) = -7.18
- crystal system = triclinic

Cell lengths 5.149, 5.451, 5.708 Å; angles 65.17, 63.30, 56.56 degrees
Each line ends with the local moment (μB).
Element x y z (fractional)
H  0.209  0.932  0.765  0.00
H  0.423  0.700  0.338  0.00
O  0.912  0.575  0.311  -0.10
O  0.573  0.186  0.310  -0.09
O  0.059  0.446  0.793  -0.09
O  0.721  0.057  0.792  -0.10
O  0.221  0.885  0.315  -0.01
O  0.412  0.748  0.788  -0.01
Pu  0.316  0.316  0.052  3.39
Sb  0.816  0.816  0.552  0.02

6.
# Rb2FeTeBr6

An optimized crystal structure of Rb2FeTeBr6 (GGA-PBE, Alexandria).

Calculated values
- energy (eV per atom) = -3.18
- crystal system = tetragonal
- formation energy (no corrections) (meV/atom) = -818.9

Cell lengths 8.029, 8.029, 7.917 Å; angles 59.53, 59.53, 90.00 degrees
Each line ends with the local moment (μB).
Element x y z (fractional)
Br  0.278  0.722  0.000  -0.01
Br  0.278  0.278  0.000  -0.01
Br  0.253  0.253  0.493  0.01
Br  0.722  0.722  0.000  -0.01
Br  0.722  0.278  0.000  -0.01
Br  0.747  0.747  0.507  0.01
Rb  0.250  0.750  0.500  0.00
Rb  0.750  0.250  0.500  0.00
Fe  0.500  0.500  0.000  3.30
Te  0.000  0.000  0.000  -0.61

7.
# Tb3B2IrRh9

An optimized crystal structure of Tb3B2IrRh9 (GGA-PBE, Alexandria).

Calculated values
- energy of formation (eV/atom) = -0.47
- energy (eV per atom) = -7.29
- crystal system = trigonal

Cell lengths 5.802, 5.802, 8.592 Å; angles 90.00, 90.00, 120.00 degrees
Element x y z (fractional)
Tb  0.000  0.000  0.000
Tb  0.333  0.667  0.632
Tb  0.667  0.333  0.368
Ir  0.000  0.000  0.500
Rh  0.834  0.166  0.719
Rh  0.834  0.668  0.719
Rh  0.000  0.500  0.000
Rh  0.668  0.834  0.281
Rh  0.500  0.500  0.000
Rh  0.166  0.834  0.281
Rh  0.500  0.000  0.000
Rh  0.166  0.332  0.281
Rh  0.332  0.166  0.719
B  0.333  0.667  0.142
B  0.667  0.333  0.858

8.
# P2RuW

An optimized crystal structure of P2RuW (GGA-PBE, Alexandria).

Calculated values
- energy of formation (eV/atom) = -0.19
- energy (eV per atom) = -8.46
- crystal system = tetragonal

Cell lengths 3.168, 3.168, 5.512 Å; angles 90.00, 90.00, 90.00 degrees
Each line ends with the local moment (μB).
Element x y z (fractional)
P  0.000  0.000  0.989  -0.01
P  0.500  0.500  0.269  0.01
W  0.500  0.500  0.808  0.10
Ru  0.000  0.000  0.435  0.55

9.
# Ni2AsIr

An optimized crystal structure of Ni2AsIr (GGA-PBE, Alexandria).

Calculated values
- energy of formation (eV/atom) = 0.33
- energy (eV per atom) = -5.94
- crystal system = orthorhombic

Cell lengths 2.725, 2.725, 8.366 Å; angles 90.00, 90.00, 118.22 degrees
Each line ends with the local moment (μB).
Element x y z (fractional)
Ni  0.500  0.500  0.247  0.14
Ni  0.000  0.000  0.009  0.41
Ir  0.500  0.500  0.757  0.10
As  0.000  0.000  0.487  -0.01

10.
# TiBe2Ru5W2

An optimized crystal structure of TiBe2Ru5W2 (GGA-PBE, Alexandria).

Calculated values
- energy of formation (eV/atom) = -0.27
- energy (eV per atom) = -9.03
- crystal system = tetragonal

Cell lengths 3.032, 9.318, 9.318 Å; angles 90.00, 90.00, 90.00 degrees
Element x y z (fractional)
Ru  0.500  0.928  0.209
Ru  0.500  0.709  0.428
Ru  0.500  0.500  0.000
Ru  0.500  0.572  0.709
Ru  0.500  0.209  0.072
Ru  0.500  0.072  0.791
Ru  0.500  0.791  0.928
Ru  0.500  0.000  0.500
Ru  0.500  0.291  0.572
Ru  0.500  0.428  0.291
W  0.000  0.325  0.825
W  0.000  0.175  0.325
W  0.000  0.675  0.175
W  0.000  0.825  0.675
Be  0.000  0.123  0.623
Be  0.000  0.877  0.377
Be  0.000  0.623  0.877
Be  0.000  0.377  0.123
Ti  0.000  0.000  0.000
Ti  0.000  0.500  0.500

energy of number 5 (PuSbH2O6)?
-7.18 eV per atom

Copy entry 10 word for word.
# TiBe2Ru5W2

An optimized crystal structure of TiBe2Ru5W2 (GGA-PBE, Alexandria).

Calculated values
- energy of formation (eV/atom) = -0.27
- energy (eV per atom) = -9.03
- crystal system = tetragonal

Cell lengths 3.032, 9.318, 9.318 Å; angles 90.00, 90.00, 90.00 degrees
Element x y z (fractional)
Ru  0.500  0.928  0.209
Ru  0.500  0.709  0.428
Ru  0.500  0.500  0.000
Ru  0.500  0.572  0.709
Ru  0.500  0.209  0.072
Ru  0.500  0.072  0.791
Ru  0.500  0.791  0.928
Ru  0.500  0.000  0.500
Ru  0.500  0.291  0.572
Ru  0.500  0.428  0.291
W  0.000  0.325  0.825
W  0.000  0.175  0.325
W  0.000  0.675  0.175
W  0.000  0.825  0.675
Be  0.000  0.123  0.623
Be  0.000  0.877  0.377
Be  0.000  0.623  0.877
Be  0.000  0.377  0.123
Ti  0.000  0.000  0.000
Ti  0.000  0.500  0.500

Which of these has the lowest energy?
TiBe2Ru5W2